Compound: CoCuCl2O
Source: Alexandria
Functional: PBE with a Hubbard U
Structure: optimized geometry

Geometry as extended XYZ:
```
5
Lattice="5.262 0.000 0.000 0.000 3.426 0.000 0.000 0.000 5.262" Properties=species:S:1:pos:R:3 pbc="T T T"
Cu 0.000 1.713 0.000
O 0.000 0.000 0.000
Cl 2.631 0.000 0.000
Co 2.631 1.713 2.631
Cl 0.000 0.000 2.631
```

Computed properties:
The value obtained for the calculated total energy is -3.25 eV per atom. For the volume, the calculation gives 95 Å³ per cell. The total magnetic moment comes out at 2.9 μB/f.u. The crystal system is tetragonal.